Below is a relaxed structure of ZrBe4Re, with properties calculated at the PBEsol level.

abc: 4.5602 4.5602 4.5602
angles: 60.00 60.00 60.00
Last column: nearest neighbours and their distance in Å.
Fractional coordinates of all 6 atoms:
Be 0.6227 0.6227 0.1320  6 Be 2.24-2.32
Be 0.6227 0.6227 0.6227  6 Be 2.24-2.32
Be 0.6227 0.1320 0.6227  6 Be 2.24-2.32
Re 0.2500 0.2500 0.2500  12 Be 2.67, 4 Zr 2.79
Be 0.1320 0.6227 0.6227  6 Be 2.24-2.32
Zr 0.0000 0.0000 0.0000  12 Be 2.68, 4 Re 2.79

Values from the calculation:
Calculated formation energy: -166.4 kJ/mol of formula units



Below is a relaxed structure of Co3Ir2, with properties calculated at the PBEsol level.

abc: 2.6079 2.6079 10.3261
angles: 82.75 82.75 60.00
Last column: nearest neighbours and their distance in Å.
Fractional coordinates of all 5 atoms:
Co 0.8024 0.8024 0.5929  9 Co 2.42-2.61, 3 Ir 2.59
Co 0.0000 0.0000 0.0000  6 Ir 2.55, 6 Co 2.61
Ir 0.5995 0.5995 0.2014  6 Co 2.55-2.59, 6 Ir 2.61
Co 0.1976 0.1976 0.4071  9 Co 2.42-2.61, 3 Ir 2.59
Ir 0.4005 0.4005 0.7986  6 Co 2.55-2.59, 6 Ir 2.61

Values from the calculation:
Calculated formation energy: 40.7 kJ/mol of formula units



Below is a relaxed structure of BiTe3Pt, with properties calculated at the PBEsol level.

abc: 5.7089 5.7089 5.7089
angles: 90.00 90.00 90.00
Last column: nearest neighbours and their distance in Å.
Fractional coordinates of all 5 atoms:
Te 0.0000 0.0000 0.5000  2 Bi 2.85
Pt 0.5000 0.5000 0.5000  12 Te 4.04
Te 0.0000 0.5000 0.0000  2 Bi 2.85
Bi 0.0000 0.0000 0.0000  6 Te 2.85
Te 0.5000 0.0000 0.0000  2 Bi 2.85

Values from the calculation:
Total DFT energy (no corrections): -0.108 hartree per atom



Below is a relaxed structure of NbCuPb3, with properties calculated at the PBEsol level.

abc: 5.4237 5.4237 5.4237
angles: 90.00 90.00 90.00
Last column: nearest neighbours and their distance in Å.
Fractional coordinates of all 5 atoms:
Pb 0.0000 0.0000 0.5000  2 Nb 2.71
Pb 0.5000 0.0000 0.0000  2 Nb 2.71
Pb 0.0000 0.5000 0.0000  2 Nb 2.71
Cu 0.5000 0.5000 0.5000  12 Pb 3.84
Nb 0.0000 0.0000 0.0000  6 Pb 2.71

Values from the calculation:
Calculated formation energy: 442.5 kJ/mol of formula units



It is found that the Fermi-level density of states values, taken in the order of the records, are 4.2; 7.2; 10.2; 4.8 states/eV per cell.